Entry 1:
# GaBiPt2 PBE optimized geometry
data_GaBiPt2
_chemical_formula_sum 'Ga2 Bi2 Pt4'
_cell_length_a 4.1624
_cell_length_b 5.6054
_cell_length_c 6.9023
_cell_angle_alpha 90.00
_cell_angle_beta 96.85
_cell_angle_gamma 90.00
_space_group_name_H-M_alt 'P 1 21/m 1'
_space_group_IT_number 11
_space_group_name_Hall '-P 2yb'
loop_
_atom_site_label
_atom_site_fract_x
_atom_site_fract_y
_atom_site_fract_z
Ga1 0.1732 0.2500 0.0917
Bi1 0.2387 0.7500 0.4159
Pt1 0.2990 0.5032 0.7983
# E_form in eV per atom: -0.456
# M_tot in μB per cell: 0.0
# Calculated volume in Å³/cell: 159.9

Entry 2:
# GaBi2Pt2 PBE optimized geometry
data_GaBi2Pt2
_chemical_formula_sum 'Ga2 Bi4 Pt4'
_cell_length_a 6.6012
_cell_length_b 6.6012
_cell_length_c 5.0607
_cell_angle_alpha 90.00
_cell_angle_beta 90.00
_cell_angle_gamma 90.00
_space_group_name_H-M_alt 'P 4/m b m'
_space_group_IT_number 127
_space_group_name_Hall '-P 4 2ab'
loop_
_atom_site_label
_atom_site_fract_x
_atom_site_fract_y
_atom_site_fract_z
Ga1 0.0000 0.0000 0.0000
Bi1 0.1830 0.3170 0.5000
Pt1 0.1470 0.6470 0.0000
# E_form in eV per atom: -0.166
# M_tot in μB per cell: 0.0
# Calculated volume in Å³/cell: 220.5

Entry 3:
# GaBi3Pt PBE optimized geometry
data_GaBi3Pt
_chemical_formula_sum 'Ga1 Bi3 Pt1'
_cell_length_a 5.5020
_cell_length_b 5.5020
_cell_length_c 5.5020
_cell_angle_alpha 90.00
_cell_angle_beta 90.00
_cell_angle_gamma 90.00
_space_group_name_H-M_alt 'P m -3 m'
_space_group_IT_number 221
_space_group_name_Hall '-P 4 2 3'
loop_
_atom_site_label
_atom_site_fract_x
_atom_site_fract_y
_atom_site_fract_z
Ga1 0.0000 0.0000 0.0000
Bi1 0.0000 0.5000 0.5000
Pt1 0.5000 0.5000 0.5000
# E_form in eV per atom: 0.368
# M_tot in μB per cell: 0.0
# Calculated volume in Å³/cell: 166.6

Entry 4:
# GaBi2Pt2 PBE optimized geometry
data_GaBi2Pt2
_chemical_formula_sum 'Ga2 Bi4 Pt4'
_cell_length_a 8.3783
_cell_length_b 8.3783
_cell_length_c 3.2919
_cell_angle_alpha 90.00
_cell_angle_beta 90.00
_cell_angle_gamma 90.00
_space_group_name_H-M_alt 'P 4/m b m'
_space_group_IT_number 127
_space_group_name_Hall '-P 4 2ab'
loop_
_atom_site_label
_atom_site_fract_x
_atom_site_fract_y
_atom_site_fract_z
Ga1 0.0000 0.0000 0.0000
Bi1 0.1524 0.3476 0.0000
Pt1 0.1408 0.6408 0.5000
# E_form in eV per atom: 0.062
# M_tot in μB per cell: 0.0
# Calculated volume in Å³/cell: 231.1

Entry 5:
# GaBiPt2 PBE optimized geometry
data_GaBiPt2
_chemical_formula_sum 'Ga1 Bi1 Pt2'
_cell_length_a 3.1975
_cell_length_b 3.1975
_cell_length_c 7.2709
_cell_angle_alpha 90.00
_cell_angle_beta 90.00
_cell_angle_gamma 90.00
_space_group_name_H-M_alt 'P 4/m m m'
_space_group_IT_number 123
_space_group_name_Hall '-P 4 2'
loop_
_atom_site_label
_atom_site_fract_x
_atom_site_fract_y
_atom_site_fract_z
Ga1 0.0000 0.0000 0.0000
Bi1 0.0000 0.0000 0.5000
Pt1 0.5000 0.5000 0.1958
# E_form in eV per atom: -0.303
# M_tot in μB per cell: 0.0
# Calculated volume in Å³/cell: 74.3

Entry 6:
# Ga2Bi2Pt PBE optimized geometry
data_Ga2Bi2Pt
_chemical_formula_sum 'Ga4 Bi4 Pt2'
_cell_length_a 6.7133
_cell_length_b 6.7133
_cell_length_c 5.0130
_cell_angle_alpha 90.00
_cell_angle_beta 90.00
_cell_angle_gamma 90.00
_space_group_name_H-M_alt 'P 4/m b m'
_space_group_IT_number 127
_space_group_name_Hall '-P 4 2ab'
loop_
_atom_site_label
_atom_site_fract_x
_atom_site_fract_y
_atom_site_fract_z
Ga1 0.1382 0.3618 0.0000
Bi1 0.1770 0.6770 0.5000
Pt1 0.0000 0.0000 0.0000
# E_form in eV per atom: -0.060
# M_tot in μB per cell: 0.0
# Calculated volume in Å³/cell: 225.9

Entry 7:
# GaBiPt2 PBE optimized geometry
data_GaBiPt2
_chemical_formula_sum 'Ga4 Bi4 Pt8'
_cell_length_a 4.4033
_cell_length_b 4.4033
_cell_length_c 17.1665
_cell_angle_alpha 90.00
_cell_angle_beta 90.00
_cell_angle_gamma 90.00
_space_group_name_H-M_alt 'I -4 2 d'
_space_group_IT_number 122
_space_group_name_Hall 'I -4 2bw'
loop_
_atom_site_label
_atom_site_fract_x
_atom_site_fract_y
_atom_site_fract_z
Ga1 0.0000 0.0000 0.0000
Bi1 0.0000 0.0000 0.5000
Pt1 0.2147 0.2500 0.1250
# E_form in eV per atom: -0.117
# M_tot in μB per cell: 0.0
# Calculated volume in Å³/cell: 332.8

Entry 8:
# GaBiPt6 PBE optimized geometry
data_GaBiPt6
_chemical_formula_sum 'Ga1 Bi1 Pt6'
_cell_length_a 4.0796
_cell_length_b 4.0796
_cell_length_c 8.0427
_cell_angle_alpha 90.00
_cell_angle_beta 90.00
_cell_angle_gamma 90.00
_space_group_name_H-M_alt 'P 4/m m m'
_space_group_IT_number 123
_space_group_name_Hall '-P 4 2'
loop_
_atom_site_label
_atom_site_fract_x
_atom_site_fract_y
_atom_site_fract_z
Ga1 0.0000 0.0000 0.0000
Bi1 0.0000 0.0000 0.5000
Pt1 0.0000 0.5000 0.2312
Pt2 0.5000 0.5000 0.0000
Pt3 0.5000 0.5000 0.5000
# E_form in eV per atom: -0.254
# M_tot in μB per cell: 0.0
# Calculated volume in Å³/cell: 133.9

Entry 9:
# GaBi2Pt2 PBE optimized geometry
data_GaBi2Pt2
_chemical_formula_sum 'Ga2 Bi4 Pt4'
_cell_length_a 3.9628
_cell_length_b 3.9628
_cell_length_c 15.2845
_cell_angle_alpha 90.00
_cell_angle_beta 90.00
_cell_angle_gamma 90.00
_space_group_name_H-M_alt 'I 4/m m m'
_space_group_IT_number 139
_space_group_name_Hall '-I 4 2'
loop_
_atom_site_label
_atom_site_fract_x
_atom_site_fract_y
_atom_site_fract_z
Ga1 0.0000 0.0000 0.0000
Bi1 0.0000 0.0000 0.3826
Pt1 0.0000 0.5000 0.2500
# E_form in eV per atom: -0.030
# M_tot in μB per cell: 0.0
# Calculated volume in Å³/cell: 240.0

Entry 10:
# GaBiPt PBE optimized geometry
data_GaBiPt
_chemical_formula_sum 'Ga4 Bi4 Pt4'
_cell_length_a 6.4908
_cell_length_b 6.4908
_cell_length_c 6.4908
_cell_angle_alpha 90.00
_cell_angle_beta 90.00
_cell_angle_gamma 90.00
_space_group_name_H-M_alt 'F -4 3 m'
_space_group_IT_number 216
_space_group_name_Hall 'F -4 2 3'
loop_
_atom_site_label
_atom_site_fract_x
_atom_site_fract_y
_atom_site_fract_z
Ga1 0.0000 0.0000 0.0000
Bi1 0.0000 0.0000 0.5000
Pt1 0.2500 0.2500 0.7500
# E_form in eV per atom: -0.306
# M_tot in μB per cell: 0.0
# Calculated volume in Å³/cell: 273.5

Entry 11:
# GaBi2PtS PBE optimized geometry
data_GaBi2PtS
_chemical_formula_sum 'Ga1 Bi2 Pt1 S1'
_cell_length_a 5.7177
_cell_length_b 5.7177
_cell_length_c 4.3982
_cell_angle_alpha 90.00
_cell_angle_beta 90.00
_cell_angle_gamma 90.00
_space_group_name_H-M_alt 'P 4/m m m'
_space_group_IT_number 123
_space_group_name_Hall '-P 4 2'
loop_
_atom_site_label
_atom_site_fract_x
_atom_site_fract_y
_atom_site_fract_z
Ga1 0.0000 0.0000 0.0000
Bi1 0.0000 0.5000 0.5000
Pt1 0.5000 0.5000 0.5000
S1 0.5000 0.5000 0.0000
# M_tot in μB per cell: 0.0
# Calculated volume in Å³/cell: 143.8
# VASP energy in eV per atom: -3.890

Entry 12:
# Sm2Ga3BiPt4 PBE optimized geometry
data_Sm2Ga3BiPt4
_chemical_formula_sum 'Sm2 Ga3 Bi1 Pt4'
_cell_length_a 4.2088
_cell_length_b 4.2088
_cell_length_c 11.4948
_cell_angle_alpha 90.00
_cell_angle_beta 90.00
_cell_angle_gamma 90.00
_space_group_name_H-M_alt 'P -4 m 2'
_space_group_IT_number 115
_space_group_name_Hall 'P -4 -2'
loop_
_atom_site_label
_atom_site_fract_x
_atom_site_fract_y
_atom_site_fract_z
Sm1 0.0000 0.5000 0.2358
Ga1 0.0000 0.5000 0.8750
Ga2 0.5000 0.5000 0.5000
Bi1 0.0000 0.0000 0.5000
Pt1 0.0000 0.0000 0.0000
Pt2 0.0000 0.5000 0.6628
Pt3 0.5000 0.5000 0.0000
# E_form in eV per atom: -0.846
# M_tot in μB per cell: 0.0
# Calculated volume in Å³/cell: 203.6

- Look up the M_tot of the tenth one.
  0.0 μB per cell